# TlTeIO6 | Alexandria via LeMat-Bulk | PBE | relaxed
data_TlTeIO6
_cell_length_a 5.318
_cell_length_b 5.866
_cell_length_c 6.097
_cell_angle_alpha 89.90
_cell_angle_beta 89.57
_cell_angle_gamma 63.77
_symmetry_space_group_name_H-M 'P 1'
_symmetry_Int_Tables_number 1
loop_
_symmetry_equiv_pos_as_xyz
'x,y,z'
loop_
_atom_site_label
_atom_site_fract_x
_atom_site_fract_y
_atom_site_fract_z
Tl1 0.000 0.000 0.000
Te1 0.317 0.366 0.500
I1 0.658 0.692 0.499
O1 0.002 0.632 0.323
O2 0.369 0.637 0.674
O3 0.432 0.936 0.302
O4 0.623 0.429 0.322
O5 0.645 0.940 0.692
O6 0.944 0.433 0.677
# Formation energy without anion corrections in eV per atom: -0.544
# Spin magnetization in μB per atom: 0.00

# HfSbAs2Br | Alexandria via LeMat-Bulk | PBE | relaxed
data_HfSbAs2Br
_cell_length_a 5.241
_cell_length_b 5.241
_cell_length_c 5.214
_cell_angle_alpha 90.00
_cell_angle_beta 90.00
_cell_angle_gamma 90.00
_symmetry_space_group_name_H-M 'P 4/m m m'
_symmetry_Int_Tables_number 123
_symmetry_space_group_name_Hall '-P 4 2'
loop_
_atom_site_label
_atom_site_fract_x
_atom_site_fract_y
_atom_site_fract_z
Hf1 0.000 0.000 0.000
Sb1 0.500 0.500 0.500
As1 0.000 0.500 0.500
Br1 0.500 0.500 0.000
# Formation energy without anion corrections in eV per atom: 0.898
# Spin magnetization in μB per atom: 0.13
# E above lowest polymorph in meV per atom: 825.1

# KRuPt2 | Alexandria via LeMat-Bulk | PBE | relaxed
data_KRuPt2
_cell_length_a 12.929
_cell_length_b 4.507
_cell_length_c 5.636
_cell_angle_alpha 90.00
_cell_angle_beta 112.48
_cell_angle_gamma 90.00
_symmetry_space_group_name_H-M 'C 1 m 1'
_symmetry_Int_Tables_number 8
loop_
_symmetry_equiv_pos_as_xyz
'x,y,z'
'x,-y,z'
'x+1/2,y+1/2,z'
'x+1/2,-y+1/2,z'
loop_
_atom_site_label
_atom_site_fract_x
_atom_site_fract_y
_atom_site_fract_z
K1 0.000 0.000 0.000
K2 0.144 0.500 0.154
Ru1 0.140 0.000 0.629
Ru2 0.312 0.000 0.554
Pt1 0.021 0.500 0.535
Pt2 0.254 0.500 0.762
Pt3 0.320 0.000 0.082
Pt4 0.394 0.500 0.410
# Formation energy from the elements in meV/atom: 192
# Spin magnetization in μB per atom: 0.20
# E above lowest polymorph in meV per atom: 42.2

# MgHg3N | Alexandria via LeMat-Bulk | PBE | relaxed
data_MgHg3N
_cell_length_a 4.832
_cell_length_b 4.832
_cell_length_c 4.832
_cell_angle_alpha 90.00
_cell_angle_beta 90.00
_cell_angle_gamma 90.00
_symmetry_space_group_name_H-M 'P m -3 m'
_symmetry_Int_Tables_number 221
_symmetry_space_group_name_Hall '-P 4 2 3'
loop_
_atom_site_label
_atom_site_fract_x
_atom_site_fract_y
_atom_site_fract_z
Mg1 0.000 0.000 0.000
Hg1 0.000 0.500 0.500
N1 0.500 0.500 0.500
# Formation energy without anion corrections in eV per atom: 0.740
# Spin magnetization in μB per atom: 0.00
# E above lowest polymorph in meV per atom: 0.0

# Pm2Pr8Cd | Alexandria via LeMat-Bulk | PBE | relaxed
data_Pm2Pr8Cd
_cell_length_a 17.945
_cell_length_b 5.653
_cell_length_c 8.192
_cell_angle_alpha 90.00
_cell_angle_beta 112.13
_cell_angle_gamma 90.00
_symmetry_space_group_name_H-M 'C 1 2/m 1'
_symmetry_Int_Tables_number 12
loop_
_symmetry_equiv_pos_as_xyz
'x,y,z'
'-x,-y,-z'
'-x,y,-z'
'x,-y,z'
'x+1/2,y+1/2,z'
'-x+1/2,-y+1/2,-z'
'-x+1/2,y+1/2,-z'
'x+1/2,-y+1/2,z'
loop_
_atom_site_label
_atom_site_fract_x
_atom_site_fract_y
_atom_site_fract_z
Pm1 0.191 0.000 0.156
Pr1 0.017 0.000 0.261
Pr2 0.102 0.500 0.932
Pr3 0.167 0.500 0.422
Pr4 0.177 0.000 0.726
Cd1 0.000 0.500 0.500
# Formation energy from the elements in meV/atom: 40
# Spin magnetization in μB per atom: 0.00
# E above lowest polymorph in meV per atom: 61.8

# In4Se3 | Alexandria via LeMat-Bulk | PBE | relaxed
data_In4Se3
_cell_length_a 12.554
_cell_length_b 15.548
_cell_length_c 4.175
_cell_angle_alpha 90.00
_cell_angle_beta 90.00
_cell_angle_gamma 90.00
_symmetry_space_group_name_H-M 'P n n m'
_symmetry_Int_Tables_number 58
loop_
_symmetry_equiv_pos_as_xyz
'x,y,z'
'-x,-y,-z'
'-x,-y,z'
'x,y,-z'
'x+1/2,-y+1/2,-z+1/2'
'-x+1/2,y+1/2,z+1/2'
'-x+1/2,y+1/2,-z+1/2'
'x+1/2,-y+1/2,z+1/2'
loop_
_atom_site_label
_atom_site_fract_x
_atom_site_fract_y
_atom_site_fract_z
In1 0.023 0.186 0.000
In2 0.107 0.424 0.000
In3 0.144 0.033 0.000
In4 0.163 0.709 0.000
Se1 0.137 0.270 0.500
Se2 0.152 0.596 0.500
Se3 0.155 0.925 0.500
# Formation energy without anion corrections in eV per atom: -0.425
# Spin magnetization in μB per atom: 0.00
# E above lowest polymorph in meV per atom: 0.0

# SrLi4Ag3F12 | Alexandria via LeMat-Bulk | PBE | relaxed
data_SrLi4Ag3F12
_cell_length_a 7.793
_cell_length_b 7.793
_cell_length_c 7.793
_cell_angle_alpha 90.00
_cell_angle_beta 90.00
_cell_angle_gamma 90.00
_symmetry_space_group_name_H-M 'I m -3'
_symmetry_Int_Tables_number 204
_symmetry_space_group_name_Hall '-I 2 2 3'
loop_
_atom_site_label
_atom_site_fract_x
_atom_site_fract_y
_atom_site_fract_z
Sr1 0.000 0.000 0.000
Li1 0.250 0.250 0.250
Ag1 0.000 0.000 0.500
F1 0.000 0.182 0.294
# Formation energy without anion corrections in eV per atom: -2.288
# Spin magnetization in μB per atom: 0.15

# TiMnN2 | Alexandria via LeMat-Bulk | PBE | relaxed
data_TiMnN2
_cell_length_a 4.527
_cell_length_b 4.527
_cell_length_c 9.053
_cell_angle_alpha 90.00
_cell_angle_beta 90.00
_cell_angle_gamma 90.00
_symmetry_space_group_name_H-M 'I -4 2 d'
_symmetry_Int_Tables_number 122
_symmetry_space_group_name_Hall 'I -4 2bw'
loop_
_atom_site_label
_atom_site_fract_x
_atom_site_fract_y
_atom_site_fract_z
Ti1 0.000 0.000 0.000
Mn1 0.000 0.000 0.500
N1 0.249 0.250 0.625
# Formation energy without anion corrections in eV per atom: -0.838
# Spin magnetization in μB per atom: 0.82